# Sr3Cd3Pd2 | Alexandria | GGA-PBE | relaxed
data_Sr3Cd3Pd2
_chemical_formula_sum 'Sr12 Cd12 Pd8'
_cell_length_a 4.468
_cell_length_b 11.538
_cell_length_c 17.486
_cell_angle_alpha 90.00
_cell_angle_beta 90.00
_cell_angle_gamma 90.00
_symmetry_space_group_name_H-M 'C m c m'
_symmetry_Int_Tables_number 63
_symmetry_space_group_name_Hall '-C 2c 2'
loop_
_atom_site_label
_atom_site_fract_x
_atom_site_fract_y
_atom_site_fract_z
_atom_site_occupancy
Sr1 0.000 0.060 0.107 1
Sr2 0.000 0.343 0.250 1
Cd1 0.000 0.346 0.033 1
Cd2 0.000 0.366 0.750 1
Pd1 0.000 0.231 0.617 1
# Crystal system = orthorhombic



# Sr2Cd5Pd5 | Alexandria | GGA-PBE | relaxed
data_Sr2Cd5Pd5
_chemical_formula_sum 'Sr2 Cd5 Pd5'
_cell_length_a 4.465
_cell_length_b 5.848
_cell_length_c 10.084
_cell_angle_alpha 90.00
_cell_angle_beta 90.00
_cell_angle_gamma 90.00
_symmetry_space_group_name_H-M 'P m m m'
_symmetry_Int_Tables_number 47
_symmetry_space_group_name_Hall '-P 2 2'
loop_
_atom_site_label
_atom_site_fract_x
_atom_site_fract_y
_atom_site_fract_z
_atom_site_occupancy
Sr1 0.000 0.000 0.000 1
Sr2 0.000 0.500 0.500 1
Cd1 0.000 0.000 0.320 1
Cd2 0.000 0.500 0.166 1
Cd3 0.500 0.000 0.500 1
Pd1 0.500 0.254 0.251 1
Pd2 0.500 0.500 0.000 1
# Crystal system = orthorhombic



# Sr2CdPd | Alexandria | GGA-PBE | relaxed
data_Sr2CdPd
_chemical_formula_sum 'Sr6 Cd3 Pd3'
_cell_length_a 4.2944
_cell_length_b 4.2944
_cell_length_c 31.4605
_cell_angle_alpha 90.00
_cell_angle_beta 90.00
_cell_angle_gamma 120.00
_symmetry_space_group_name_H-M 'R -3 m'
_symmetry_Int_Tables_number 166
_symmetry_space_group_name_Hall '-R 3 2"'
loop_
_atom_site_label
_atom_site_fract_x
_atom_site_fract_y
_atom_site_fract_z
_atom_site_occupancy
Sr1 0.0000 0.0000 0.1122 1
Cd1 0.0000 0.0000 0.0000 1
Pd1 0.0000 0.0000 0.5000 1
# Crystal system = trigonal



The records above give, respectively, V values of 901.4, 263.3, 502.5 Å³/cell.
The records above give, respectively, energy of formation values of -0.494, -0.459, -0.162 eV/atom.
The records above give, respectively, magnetic moment values of 0.0, 0.0, 0.0 μB per formula unit.